This record from the Alexandria database describes crystalline Na2P2S5 at its relaxed geometry. The functional is PBE-GGA.

The structure in POSCAR format:
```
Na2P2S5
1.0
6.422 -2.436 0.000
6.422 2.436 0.000
-1.585 0.000 6.520
Na P S
2 2 5
Direct
0.115 0.115 0.342
0.885 0.885 0.658
0.341 0.341 0.117
0.659 0.659 0.883
0.173 0.173 0.958
0.355 0.355 0.423
0.500 0.500 0.000
0.645 0.645 0.577
0.827 0.827 0.042
```

## Properties
* total magnetization: 0.00 μB/atom
* V: 22.7 A^3/atom
* E_form (uncorrected): -0.39 eV/atom

---

This record from the Alexandria database describes crystalline NaPS4 at its relaxed geometry. The functional is PBE-GGA.

The structure in POSCAR format:
```
NaPS4
1.0
13.764 0.000 0.000
0.000 3.055 0.000
-3.545 0.000 6.354
Na P S
2 2 8
Direct
0.000 0.000 0.000
0.500 0.500 0.000
0.000 0.500 0.500
0.500 0.000 0.500
0.105 0.000 0.458
0.121 0.500 0.846
0.379 0.000 0.154
0.395 0.500 0.542
0.605 0.500 0.458
0.621 0.000 0.846
0.879 0.500 0.154
0.895 0.000 0.542
```

## Properties
* total magnetization: 0.00 μB/atom
* V: 22.3 A^3/atom
* E_form (uncorrected): 0.01 eV/atom
* excess energy over the best structure of this formula in the dataset: 337 meV/atom

---

This record from the Alexandria database describes crystalline Na2P2S7 at its relaxed geometry. The functional is PBE-GGA.

The structure in POSCAR format:
```
Na2P2S7
1.0
4.313 -5.719 0.000
4.313 5.719 0.000
-2.133 0.000 5.865
Na P S
2 2 7
Direct
0.194 0.806 0.000
0.806 0.194 0.000
0.260 0.260 0.610
0.740 0.740 0.390
0.084 0.385 0.745
0.207 0.207 0.264
0.385 0.084 0.745
0.500 0.500 0.500
0.615 0.916 0.255
0.793 0.793 0.736
0.916 0.615 0.255
```

## Properties
* total magnetization: 0.00 μB/atom
* V: 26.3 A^3/atom
* E_form (uncorrected): -0.33 eV/atom

---

This record from the Alexandria database describes crystalline NaSbPS2 at its relaxed geometry. The functional is PBE-GGA.

The structure in POSCAR format:
```
NaSbPS2
1.0
4.849 0.000 0.000
0.000 4.849 0.000
0.000 0.000 4.882
Na Sb P S
1 1 1 2
Direct
0.000 0.000 0.000
0.500 0.500 0.500
0.000 0.000 0.500
0.000 0.500 0.000
0.500 0.000 0.000
```

## Properties
* total magnetization: 0.07 μB/atom
* V: 23.0 A^3/atom
* E_form (uncorrected): 0.97 eV/atom
* excess energy over the best structure of this formula in the dataset: 732 meV/atom

---

This record from the Alexandria database describes crystalline NaSbP2S6 at its relaxed geometry. The functional is PBE-GGA.

The structure in POSCAR format:
```
NaSbP2S6
1.0
6.605 0.000 0.000
0.000 7.802 0.000
-0.443 0.000 9.464
Na Sb P S
2 2 4 12
Direct
0.188 0.000 0.010
0.812 0.500 0.990
0.316 0.706 0.481
0.684 0.206 0.519
0.192 0.293 0.318
0.314 0.504 0.181
0.686 0.004 0.819
0.808 0.793 0.682
0.069 0.706 0.770
0.101 0.690 0.197
0.162 0.408 0.516
0.374 0.404 0.997
0.408 0.101 0.326
0.437 0.079 0.692
0.563 0.579 0.308
0.592 0.601 0.674
0.626 0.904 0.003
0.838 0.908 0.484
0.899 0.190 0.803
0.931 0.206 0.230
```

## Properties
* total magnetization: 0.00 μB/atom
* V: 24.4 A^3/atom
* E_form (uncorrected): -0.42 eV/atom
* excess energy over the best structure of this formula in the dataset: 6 meV/atom

---

This record from the Alexandria database describes crystalline Na2SbPS4 at its relaxed geometry. The functional is PBE-GGA.

The structure in POSCAR format:
```
Na2SbPS4
1.0
5.946 0.000 0.000
0.000 5.946 0.000
0.000 0.000 12.681
Na Sb P S
4 2 2 8
Direct
0.000 0.000 0.000
0.000 0.500 0.250
0.500 0.000 0.750
0.500 0.500 0.500
0.000 0.000 0.500
0.500 0.500 0.000
0.000 0.500 0.750
0.500 0.000 0.250
0.192 0.275 0.640
0.225 0.692 0.860
0.275 0.808 0.360
0.308 0.225 0.140
0.692 0.775 0.140
0.725 0.192 0.360
0.775 0.308 0.860
0.808 0.725 0.640
```

## Properties
* total magnetization: 0.00 μB/atom
* V: 28.0 A^3/atom
* E_form (uncorrected): -0.37 eV/atom

---

This record from the Alexandria database describes crystalline NaSbP2S at its relaxed geometry. The functional is PBE-GGA.

The structure in POSCAR format:
```
NaSbP2S
1.0
4.870 0.000 0.000
0.000 4.870 0.000
0.000 0.000 4.849
Na Sb P S
1 1 2 1
Direct
0.000 0.000 0.000
0.500 0.500 0.500
0.000 0.500 0.000
0.500 0.000 0.000
0.000 0.000 0.500
```

## Properties
* total magnetization: 0.14 μB/atom
* V: 23.0 A^3/atom
* E_form (uncorrected): 1.19 eV/atom
* excess energy over the best structure of this formula in the dataset: 648 meV/atom

---

This record from the Alexandria database describes crystalline NaSbPS2 at its relaxed geometry. The functional is PBE-GGA.

The structure in POSCAR format:
```
NaSbPS2
1.0
5.147 0.000 0.000
0.000 5.147 0.000
0.000 0.000 5.155
Na Sb P S
1 1 1 2
Direct
0.000 0.000 0.000
0.500 0.500 0.500
0.500 0.500 0.000
0.000 0.500 0.500
0.500 0.000 0.500
```

## Properties
* total magnetization: 0.32 μB/atom
* V: 27.3 A^3/atom
* E_form (uncorrected): 0.24 eV/atom
* excess energy over the best structure of this formula in the dataset: 0 meV/atom

---

This record from the Alexandria database describes crystalline NaSbP2S8 at its relaxed geometry. The functional is PBE-GGA.

The structure in POSCAR format:
```
NaSbP2S8
1.0
2.988 1.725 9.371
-2.988 1.725 9.371
0.000 -3.450 9.371
Na Sb P S
1 1 2 8
Direct
0.000 0.000 0.000
0.500 0.500 0.500
0.245 0.245 0.245
0.755 0.755 0.755
0.100 0.794 0.434
0.206 0.566 0.900
0.315 0.315 0.315
0.434 0.100 0.794
0.566 0.900 0.206
0.685 0.685 0.685
0.794 0.434 0.100
0.900 0.206 0.566
```

## Properties
* total magnetization: 0.00 μB/atom
* V: 24.2 A^3/atom
* E_form (uncorrected): -0.19 eV/atom

---

This record from the Alexandria database describes crystalline NaSbPS2 at its relaxed geometry. The functional is PBE-GGA.

The structure in POSCAR format:
```
NaSbPS2
1.0
4.649 0.000 0.000
0.000 4.649 0.000
0.000 0.000 5.832
Na Sb P S
1 1 1 2
Direct
0.000 0.000 0.000
0.000 0.000 0.500
0.500 0.500 0.500
0.000 0.500 0.000
0.500 0.000 0.000
```

## Properties
* total magnetization: 0.00 μB/atom
* V: 25.2 A^3/atom
* E_form (uncorrected): 1.16 eV/atom
* excess energy over the best structure of this formula in the dataset: 920 meV/atom

---

This record from the Alexandria database describes crystalline NaSbP2S at its relaxed geometry. The functional is PBE-GGA.

The structure in POSCAR format:
```
NaSbP2S
1.0
5.154 0.000 0.000
0.000 5.154 0.000
0.000 0.000 5.208
Na Sb P S
1 1 2 1
Direct
0.000 0.000 0.000
0.500 0.500 0.500
0.000 0.500 0.500
0.500 0.000 0.500
0.500 0.500 0.000
```

## Properties
* total magnetization: 0.37 μB/atom
* V: 27.7 A^3/atom
* E_form (uncorrected): 0.55 eV/atom
* excess energy over the best structure of this formula in the dataset: 0 meV/atom

---

This record from the Alexandria database describes crystalline NaSbP2S6 at its relaxed geometry. The functional is PBE-GGA.

The structure in POSCAR format:
```
NaSbP2S6
1.0
11.439 0.000 0.000
0.000 7.396 0.000
-3.947 0.000 11.304
Na Sb P S
4 4 8 24
Direct
0.093 0.114 0.381
0.093 0.386 0.881
0.907 0.614 0.119
0.907 0.886 0.619
0.368 0.659 0.680
0.368 0.841 0.180
0.632 0.159 0.820
0.632 0.341 0.320
0.254 0.120 0.704
0.254 0.380 0.204
0.257 0.601 0.335
0.257 0.899 0.835
0.743 0.101 0.165
0.743 0.399 0.665
0.746 0.620 0.796
0.746 0.880 0.296
0.081 0.212 0.635
0.081 0.288 0.135
0.158 0.693 0.726
0.158 0.807 0.226
0.189 0.505 0.456
0.189 0.995 0.956
0.320 0.512 0.084
0.320 0.988 0.584
0.378 0.197 0.304
0.378 0.303 0.804
0.437 0.692 0.390
0.437 0.808 0.890
0.563 0.192 0.110
0.563 0.308 0.610
0.622 0.697 0.196
0.622 0.803 0.696
0.680 0.012 0.416
0.680 0.488 0.916
0.811 0.005 0.044
0.811 0.495 0.544
0.842 0.193 0.774
0.842 0.307 0.274
0.919 0.712 0.865
0.919 0.788 0.365
```

## Properties
* total magnetization: 0.00 μB/atom
* V: 23.9 A^3/atom
* E_form (uncorrected): -0.43 eV/atom
* excess energy over the best structure of this formula in the dataset: 0 meV/atom

---

This record from the Alexandria database describes crystalline NaScP2S8 at its relaxed geometry. The functional is PBE-GGA.

The structure in POSCAR format:
```
NaScP2S8
1.0
3.015 1.741 8.644
-3.015 1.741 8.644
0.000 -3.481 8.644
Na Sc P S
1 1 2 8
Direct
0.000 0.000 0.000
0.500 0.500 0.500
0.246 0.246 0.246
0.754 0.754 0.754
0.091 0.799 0.436
0.201 0.564 0.909
0.325 0.325 0.325
0.436 0.091 0.799
0.564 0.909 0.201
0.675 0.675 0.675
0.799 0.436 0.091
0.909 0.201 0.564
```

## Properties
* total magnetization: 0.17 μB/atom
* V: 22.7 A^3/atom
* E_form (uncorrected): -0.48 eV/atom

---

This record from the Alexandria database describes crystalline NaScP2S at its relaxed geometry. The functional is PBE-GGA.

The structure in POSCAR format:
```
NaScP2S
1.0
4.986 0.000 0.000
0.000 4.986 0.000
0.000 0.000 4.995
Na Sc P S
1 1 2 1
Direct
0.000 0.000 0.000
0.500 0.500 0.500
0.000 0.500 0.500
0.500 0.000 0.500
0.500 0.500 0.000
```

## Properties
* total magnetization: 0.04 μB/atom
* V: 24.8 A^3/atom
* E_form (uncorrected): -0.19 eV/atom
* excess energy over the best structure of this formula in the dataset: 0 meV/atom

---

This record from the Alexandria database describes crystalline NaScPS2 at its relaxed geometry. The functional is PBE-GGA.

The structure in POSCAR format:
```
NaScPS2
1.0
4.979 0.000 0.000
0.000 4.979 0.000
0.000 0.000 5.037
Na Sc P S
1 1 1 2
Direct
0.000 0.000 0.000
0.500 0.500 0.500
0.500 0.500 0.000
0.000 0.500 0.500
0.500 0.000 0.500
```

## Properties
* total magnetization: 0.22 μB/atom
* V: 25.0 A^3/atom
* E_form (uncorrected): -0.51 eV/atom
* excess energy over the best structure of this formula in the dataset: 0 meV/atom

---

This record from the Alexandria database describes crystalline NaScPS2 at its relaxed geometry. The functional is PBE-GGA.

The structure in POSCAR format:
```
NaScPS2
1.0
4.807 0.000 0.000
0.000 4.807 0.000
0.000 0.000 4.647
Na Sc P S
1 1 1 2
Direct
0.000 0.000 0.000
0.500 0.500 0.500
0.000 0.000 0.500
0.000 0.500 0.000
0.500 0.000 0.000
```

## Properties
* total magnetization: 0.00 μB/atom
* V: 21.5 A^3/atom
* E_form (uncorrected): 0.41 eV/atom
* excess energy over the best structure of this formula in the dataset: 929 meV/atom

---

This record from the Alexandria database describes crystalline NaScP2S at its relaxed geometry. The functional is PBE-GGA.

The structure in POSCAR format:
```
NaScP2S
1.0
4.738 0.000 0.000
0.000 4.738 0.000
0.000 0.000 4.761
Na Sc P S
1 1 2 1
Direct
0.000 0.000 0.000
0.500 0.500 0.500
0.000 0.500 0.000
0.500 0.000 0.000
0.000 0.000 0.500
```

## Properties
* total magnetization: 0.00 μB/atom
* V: 21.4 A^3/atom
* E_form (uncorrected): 0.66 eV/atom
* excess energy over the best structure of this formula in the dataset: 849 meV/atom

---

This record from the Alexandria database describes crystalline Na2PSeS4 at its relaxed geometry. The functional is PBE-GGA.

The structure in POSCAR format:
```
Na2PSeS4
1.0
5.124 -5.127 0.000
5.124 5.127 0.000
-4.869 0.000 6.836
Na P Se S
4 2 2 8
Direct
0.000 0.000 0.000
0.000 0.000 0.500
0.000 0.500 0.000
0.500 0.000 0.500
0.000 0.500 0.500
0.500 0.000 0.000
0.500 0.500 0.000
0.500 0.500 0.500
0.204 0.686 0.449
0.205 0.269 0.455
0.269 0.205 0.955
0.314 0.796 0.051
0.686 0.204 0.949
0.731 0.795 0.045
0.795 0.731 0.545
0.796 0.314 0.551
```

## Properties
* total magnetization: 0.00 μB/atom
* V: 22.4 A^3/atom
* E_form (uncorrected): -0.20 eV/atom

---

This record from the Alexandria database describes crystalline Na2PSeS at its relaxed geometry. The functional is PBE-GGA.

The structure in POSCAR format:
```
Na2PSeS
1.0
5.687 0.000 0.000
0.000 5.687 0.000
0.000 0.000 4.194
Na P Se S
2 1 1 1
Direct
0.000 0.500 0.000
0.500 0.000 0.000
0.000 0.000 0.000
0.500 0.500 0.500
0.000 0.000 0.500
```

## Properties
* total magnetization: 0.00 μB/atom
* V: 27.1 A^3/atom
* E_form (uncorrected): -0.13 eV/atom

---

This record from the Alexandria database describes crystalline NaP2SeS at its relaxed geometry. The functional is PBE-GGA.

The structure in POSCAR format:
```
NaP2SeS
1.0
4.878 0.000 0.000
0.000 4.878 0.000
0.000 0.000 4.983
Na P Se S
1 2 1 1
Direct
0.000 0.000 0.000
0.000 0.500 0.500
0.500 0.000 0.500
0.500 0.500 0.500
0.500 0.500 0.000
```

## Properties
* total magnetization: 0.18 μB/atom
* V: 23.7 A^3/atom
* E_form (uncorrected): 0.62 eV/atom
* excess energy over the best structure of this formula in the dataset: 0 meV/atom